# 1
Material: Dy6CoTe3
Method: DFT, PBE-GGA
State: optimized geometry

Unit cell a=11.997 b=3.911 c=12.599 alpha=90.00 beta=105.10 gamma=90.00
Space group P2_1/m (No. 11)
Unique sites:
Dy  0.013  0.250  0.351 (multiplicity 2)
Dy  0.080  0.250  0.892 (multiplicity 2)
Dy  0.279  0.750  0.320 (multiplicity 2)
Dy  0.285  0.750  0.765 (multiplicity 2)
Dy  0.408  0.250  0.562 (multiplicity 2)
Dy  0.454  0.750  0.151 (multiplicity 2)
Co  0.458  0.250  0.320 (multiplicity 2)
Te  0.125  0.250  0.149 (multiplicity 2)
Te  0.173  0.750  0.516 (multiplicity 2)
Te  0.344  0.250  0.960 (multiplicity 2)

theoretical density	8.243	g/cm³
spin magnetization	0.0000	μB/atom
E_form (uncorrected)	-706.9	kJ/mol of formula units
crystal system	monoclinic

# 2
Material: Tb4Tl3Hg2
Method: DFT, PBE-GGA
State: optimized geometry

Unit cell a=5.1775 b=5.1775 c=10.5916 alpha=90.00 beta=90.00 gamma=120.00
Space group P-3m1 (No. 164)
Unique sites:
Tb  0.0000  0.0000  0.1711 (multiplicity 2)
Tb  0.3333  0.6667  0.6127 (multiplicity 2)
Tl  0.0000  0.0000  0.5000 (multiplicity 1)
Tl  0.3333  0.6667  0.9421 (multiplicity 2)
Hg  0.3333  0.6667  0.2990 (multiplicity 2)

calculated formation energy	-0.3296	eV per atom
theoretical density	11.143	g/cm³
spin magnetization	0.0000	μB/atom
crystal system	trigonal

# 3
Material: Mg2AsPt
Method: DFT, PBE-GGA
State: optimized geometry

Unit cell a=3.962 b=3.962 c=8.915 alpha=90.00 beta=90.00 gamma=90.00
Space group I-4m2 (No. 119)
Unique sites:
Mg  0.000  0.000  0.000 (multiplicity 2)
Mg  0.000  0.500  0.250 (multiplicity 2)
As  0.000  0.000  0.500 (multiplicity 2)
Pt  0.000  0.500  0.750 (multiplicity 2)

calculated formation energy	-0.4649	eV per atom
theoretical density	7.561	g/cm³
spin magnetization	0.0000	μB/atom
crystal system	tetragonal

# 4
Material: Ho8Cu2Tc
Method: DFT, PBE-GGA
State: optimized geometry

Unit cell a=8.196 b=13.136 c=5.683 alpha=90.00 beta=110.41 gamma=90.00
Space group Cm (No. 8)
Unique sites:
Ho  0.000  0.000  0.000 (multiplicity 2)
Ho  0.067  0.379  0.777 (multiplicity 4)
Ho  0.153  0.122  0.570 (multiplicity 4)
Ho  0.225  0.500  0.369 (multiplicity 2)
Ho  0.359  0.210  0.181 (multiplicity 4)
Cu  0.364  0.303  0.685 (multiplicity 4)
Tc  0.364  0.000  0.286 (multiplicity 2)

calculated formation energy	-0.0083	eV per atom
theoretical density	8.946	g/cm³
spin magnetization	0.0000	μB/atom
crystal system	monoclinic
ΔE to the lowest computed polymorph	0.1007	eV/atom

| no. | density of states at the Fermi level (states/eV per atom) |
| --- | --- |
| 1 | 0.892 |
| 2 | 0.843 |
| 3 | 0.503 |
| 4 | 1.112 |